# Ta2CoRu PBE-GGA optimized geometry
data_Ta2CoRu
_chemical_formula_sum 'Ta2 Co1 Ru1'
_space_group_name_H-M_alt 'P 1'
_space_group_IT_number 1
_space_group_name_Hall 'P 1'
_cell_length_a 4.514
_cell_length_b 4.514
_cell_length_c 3.031
_cell_angle_alpha 90.00
_cell_angle_beta 90.00
_cell_angle_gamma 97.41
loop_
_atom_site_label
_atom_site_type_symbol
_atom_site_fract_x
_atom_site_fract_y
_atom_site_fract_z
Co1 Co 0.500 0.000 0.500
Ru1 Ru 0.000 0.500 0.500
Ta1 Ta 0.000 0.000 0.000
Ta2 Ta 0.500 0.500 0.000
# Volume = 61.24 Å³/f.u.
# ΔH_f (0 K) = -0.200 eV per atom
# Symmetry = No. 65
# Crystal system = orthorhombic
# Total energy = -10.22 eV per atom